Entry 1:
{"formula": "TlAs", "functional": "PBE", "state": "relaxed", "n_ef_per_ev_atom": 0.395, "delta_e_f_ev_per_atom": 0.0489, "rho_g_cm3": 8.119, "magnetic_moment_mub_per_fu": 0.00, "lattice": [[-0.6376, 1.8117, -3.0246], [2.1147, -5.1962, -3.5582], [-6.2920, -3.7554, 1.1992]], "species": ["As", "As", "As", "Tl", "Tl", "Tl"], "fractional_positions": [[0.6592, 0.4274, 0.3185], [0.2730, 0.5171, 0.5460], [0.4001, 0.2474, 0.8003], [0.0717, 0.0767, 0.1434], [0.9813, 0.6025, 0.9627], [0.7813, 0.9622, 0.5626]]}



Entry 2:
{"formula": "TlAs6", "functional": "PBE", "state": "relaxed", "n_ef_per_ev_atom": 0.510, "delta_e_f_ev_per_atom": 0.2776, "rho_g_cm3": 5.337, "magnetic_moment_mub_per_fu": 0.00, "lattice": [[-1.8069, -3.6366, -4.9691], [-0.3401, -3.4422, 5.4053], [-3.8875, 5.0855, 0.4543]], "species": ["Tl", "As", "As", "As", "As", "As", "As"], "fractional_positions": [[0.0000, 0.0000, 0.0000], [0.2500, 0.7500, 0.5000], [0.5000, 0.7500, 0.2500], [0.2500, 0.5000, 0.7500], [0.7500, 0.2500, 0.5000], [0.5000, 0.2500, 0.7500], [0.7500, 0.5000, 0.2500]]}



Entry 3:
{"formula": "TlAs3", "functional": "PBE", "state": "relaxed", "de_polymorph_mev_per_atom": 292, "n_ef_per_ev_atom": 0.916, "delta_e_f_ev_per_atom": 0.4508, "rho_g_cm3": 8.118, "magnetic_moment_mub_per_fu": 0.00, "lattice": [[4.8676, 0.0000, 0.0000], [0.0000, 4.8676, 0.0000], [0.0000, 0.0000, 3.7047]], "species": ["Tl", "As", "As", "As"], "fractional_positions": [[0.0000, 0.5000, 0.5000], [0.0000, 0.0000, 0.0000], [0.5000, 0.0000, 0.5000], [0.5000, 0.5000, 0.0000]]}



Entry 4:
{"formula": "TlAs3", "functional": "PBE", "state": "relaxed", "de_polymorph_mev_per_atom": 197, "n_ef_per_ev_atom": 0.467, "delta_e_f_ev_per_atom": 0.3556, "rho_g_cm3": 7.895, "magnetic_moment_mub_per_fu": 0.00, "lattice": [[-1.9056, 1.1328, -2.2384], [-1.7623, -0.9628, 2.4274], [0.6067, 8.7427, 3.9079]], "species": ["Tl", "As", "As", "As"], "fractional_positions": [[0.5000, 0.5000, 0.2500], [0.0000, 0.0000, 0.9593], [0.5000, 0.5000, 0.7500], [0.0000, 0.0000, 0.5407]]}



Entry 5:
{"formula": "TlAs", "functional": "PBE", "state": "relaxed", "n_ef_per_ev_atom": 0.642, "delta_e_f_ev_per_atom": 0.2236, "rho_g_cm3": 9.052, "magnetic_moment_mub_per_fu": 0.00, "lattice": [[-0.6786, -5.0914, -2.8947], [5.5385, -1.5054, 1.3493], [-1.9043, -2.5639, 4.9560]], "species": ["Tl", "Tl", "Tl", "Tl", "As", "As", "As", "As"], "fractional_positions": [[0.5000, 0.5000, 0.5000], [0.5000, 0.0000, 0.0000], [0.0000, 0.5000, 0.0000], [0.0000, 0.0000, 0.5000], [0.0000, 0.0000, 0.0000], [0.0000, 0.5000, 0.5000], [0.5000, 0.0000, 0.5000], [0.5000, 0.5000, 0.0000]]}



Entry 6:
{"formula": "TlAs5", "functional": "PBE", "state": "relaxed", "de_polymorph_mev_per_atom": 268, "n_ef_per_ev_atom": 0.509, "delta_e_f_ev_per_atom": 0.4227, "rho_g_cm3": 6.737, "magnetic_moment_mub_per_fu": 0.00, "lattice": [[1.1111, -1.1635, 5.6407], [-4.2889, 0.4137, 3.9800], [-2.1787, -4.8493, 2.4787]], "species": ["Tl", "As", "As", "As", "As", "As"], "fractional_positions": [[0.0000, 0.0000, 0.0000], [0.2500, 0.2500, 0.2500], [0.6102, 0.6102, 0.6102], [0.6102, 0.6102, 0.1693], [0.1693, 0.6102, 0.6102], [0.6102, 0.1693, 0.6102]]}



Entry 7:
{"formula": "TlAs2", "functional": "PBE", "state": "relaxed", "n_ef_per_ev_atom": 0.112, "delta_e_f_ev_per_atom": 0.1750, "rho_g_cm3": 8.133, "magnetic_moment_mub_per_fu": 0.00, "lattice": [[3.6938, -3.9040, 2.4151], [3.8366, 1.7337, 4.1222], [-0.7349, -1.6773, 5.6004]], "species": ["Tl", "Tl", "As", "As", "As", "As"], "fractional_positions": [[0.5000, 0.5000, 0.5000], [0.7500, 0.7500, 0.7500], [0.6250, 0.1250, 0.1250], [0.1250, 0.6250, 0.1250], [0.1250, 0.1250, 0.6250], [0.1250, 0.1250, 0.1250]]}



Entry 8:
{"formula": "Tl3As2", "functional": "PBE", "state": "relaxed", "de_polymorph_mev_per_atom": 74, "n_ef_per_ev_atom": 0.271, "delta_e_f_ev_per_atom": 0.1048, "rho_g_cm3": 8.098, "magnetic_moment_mub_per_fu": 0.00, "lattice": [[-0.4283, 6.6842, -3.4669], [0.4163, 0.3807, -7.5208], [-6.3158, 1.7535, -4.0424]], "species": ["Tl", "Tl", "Tl", "Tl", "Tl", "Tl", "As", "As", "As", "As"], "fractional_positions": [[0.0401, 0.7500, 0.7500], [0.7500, 0.4599, 0.7500], [0.4599, 0.0401, 0.7500], [0.2500, 0.5401, 0.2500], [0.5401, 0.9599, 0.2500], [0.9599, 0.2500, 0.2500], [0.8606, 0.8606, 0.4183], [0.3606, 0.3606, 0.9183], [0.1394, 0.1394, 0.5817], [0.6394, 0.6394, 0.0817]]}



Entry 9:
{"formula": "Tl3As", "functional": "PBE", "state": "relaxed", "n_ef_per_ev_atom": 0.720, "delta_e_f_ev_per_atom": 0.1282, "rho_g_cm3": 9.883, "magnetic_moment_mub_per_fu": 0.00, "lattice": [[-6.8970, -8.2220, -2.3087], [-4.0850, -9.3215, -4.1138], [-4.3673, -10.0479, -0.6835]], "species": ["Tl", "Tl", "Tl", "As"], "fractional_positions": [[0.7391, 0.7391, 0.7391], [0.5000, 0.5000, 0.5000], [0.2609, 0.2609, 0.2609], [0.0000, 0.0000, 0.0000]]}



Entry 10:
{"formula": "TlAs5", "functional": "PBE", "state": "relaxed", "de_polymorph_mev_per_atom": 0, "n_ef_per_ev_atom": 0.443, "delta_e_f_ev_per_atom": 0.1552, "rho_g_cm3": 7.054, "magnetic_moment_mub_per_fu": 0.00, "lattice": [[0.1986, 6.3170, 1.1149], [-2.1731, -5.6276, 2.1896], [4.7956, -0.6816, 3.0076]], "species": ["Tl", "As", "As", "As", "As", "As"], "fractional_positions": [[0.0554, 0.9446, 0.5000], [0.0557, 0.9443, 0.0000], [0.3850, 0.6150, 0.0000], [0.7263, 0.2737, 0.0000], [0.3706, 0.6294, 0.5000], [0.7402, 0.2598, 0.5000]]}



Entry 11:
{"formula": "TlAs", "functional": "PBE", "state": "relaxed", "n_ef_per_ev_atom": 0.105, "delta_e_f_ev_per_atom": 0.1581, "rho_g_cm3": 6.847, "magnetic_moment_mub_per_fu": 0.00, "lattice": [[7.7754, 0.0000, 0.0000], [0.0000, 7.7754, 0.0000], [0.0000, 0.0000, 4.4820]], "species": ["Tl", "Tl", "Tl", "Tl", "As", "As", "As", "As"], "fractional_positions": [[0.8188, 0.8188, 0.0000], [0.3188, 0.6812, 0.5000], [0.6812, 0.3188, 0.5000], [0.1812, 0.1812, 0.0000], [0.8232, 0.1768, 0.0000], [0.3232, 0.3232, 0.5000], [0.6768, 0.6768, 0.5000], [0.1768, 0.8232, 0.0000]]}



Entry 12:
{"formula": "TlAs3", "functional": "PBE", "state": "relaxed", "de_polymorph_mev_per_atom": 25, "n_ef_per_ev_atom": 0.806, "delta_e_f_ev_per_atom": 0.1833, "rho_g_cm3": 7.706, "magnetic_moment_mub_per_fu": 0.00, "lattice": [[-5.3084, -1.4995, -4.5620], [-3.3367, -4.8990, -4.0132], [-5.9905, -3.6881, -1.3232]], "species": ["Tl", "As", "As", "As"], "fractional_positions": [[0.0000, 0.0000, 0.0000], [0.2398, 0.2398, 0.2398], [0.5000, 0.5000, 0.5000], [0.7602, 0.7602, 0.7602]]}



Entry 13:
{"formula": "Tl3As", "functional": "PBE", "state": "relaxed", "n_ef_per_ev_atom": 0.440, "delta_e_f_ev_per_atom": 0.0924, "rho_g_cm3": 9.883, "magnetic_moment_mub_per_fu": 0.00, "lattice": [[3.3731, 0.0360, 0.0000], [-0.2227, 3.3660, 0.0000], [0.0000, 0.0000, 10.1754]], "species": ["Tl", "Tl", "Tl", "As"], "fractional_positions": [[0.5000, 0.5000, 0.7843], [0.0000, 0.0000, 0.5000], [0.5000, 0.5000, 0.2157], [0.0000, 0.0000, 0.0000]]}



Entry 14:
{"formula": "TlAs3", "functional": "PBE", "state": "relaxed", "de_polymorph_mev_per_atom": 36, "n_ef_per_ev_atom": 0.400, "delta_e_f_ev_per_atom": 0.1939, "rho_g_cm3": 6.693, "magnetic_moment_mub_per_fu": 0.00, "lattice": [[5.8785, 0.0060, 0.0267], [-0.0624, 5.8448, 0.0159], [-0.9215, -4.8550, 3.0813]], "species": ["Tl", "As", "As", "As"], "fractional_positions": [[0.3767, 0.7529, 0.6315], [0.9216, 0.9125, 0.0023], [0.5946, 0.5854, 0.0098], [0.9405, 0.2493, 0.6898]]}



Entry 15:
{"formula": "TlAs", "functional": "PBE", "state": "relaxed", "n_ef_per_ev_atom": 0.517, "delta_e_f_ev_per_atom": 0.0725, "rho_g_cm3": 8.558, "magnetic_moment_mub_per_fu": 0.00, "lattice": [[-1.7686, -1.5088, -2.9092], [2.5983, -2.6602, -0.1998], [-4.1920, -4.4596, 4.8613]], "species": ["Tl", "Tl", "As", "As"], "fractional_positions": [[0.2500, 0.2500, 0.6667], [0.7500, 0.7500, 0.3333], [0.2500, 0.2500, 0.0544], [0.7500, 0.7500, 0.9456]]}



Entry 16:
{"formula": "TlAs3", "functional": "PBE", "state": "relaxed", "de_polymorph_mev_per_atom": 432, "n_ef_per_ev_atom": 0.855, "delta_e_f_ev_per_atom": 0.5901, "rho_g_cm3": 7.909, "magnetic_moment_mub_per_fu": 0.00, "lattice": [[-5.0459, -0.8738, -2.3832], [-0.3847, -4.9786, 2.6400], [-2.5090, 2.5207, 4.3880]], "species": ["Tl", "Tl", "As", "As", "As", "As", "As", "As"], "fractional_positions": [[0.0000, 0.0000, 0.0000], [0.5000, 0.5000, 0.5000], [0.7500, 0.5000, 0.0000], [0.2500, 0.5000, 0.0000], [0.0000, 0.7500, 0.5000], [0.0000, 0.2500, 0.5000], [0.5000, 0.0000, 0.2500], [0.5000, 0.0000, 0.7500]]}



Entry 17:
{"formula": "Tl3As2", "functional": "PBE", "state": "relaxed", "de_polymorph_mev_per_atom": 126, "n_ef_per_ev_atom": 0.598, "delta_e_f_ev_per_atom": 0.1565, "rho_g_cm3": 9.128, "magnetic_moment_mub_per_fu": 0.00, "lattice": [[-4.4508, 7.4579, 2.6589], [-6.9498, 4.2546, 4.0123], [-3.5570, 5.4514, 6.3348]], "species": ["Tl", "Tl", "Tl", "As", "As"], "fractional_positions": [[0.0000, 0.0000, 0.0000], [0.7895, 0.7895, 0.7895], [0.2105, 0.2105, 0.2105], [0.3977, 0.3977, 0.3977], [0.6023, 0.6023, 0.6023]]}



Entry 18:
{"formula": "Tl3As", "functional": "PBE", "state": "relaxed", "n_ef_per_ev_atom": 0.498, "delta_e_f_ev_per_atom": 0.0180, "rho_g_cm3": 9.144, "magnetic_moment_mub_per_fu": 0.00, "lattice": [[-3.0571, -0.5173, 2.8410], [-3.7775, -2.2496, -4.4744], [3.1263, -8.7660, 1.7680]], "species": ["As", "As", "Tl", "Tl", "Tl", "Tl", "Tl", "Tl"], "fractional_positions": [[0.0000, 0.4421, 0.0000], [0.5000, 0.5579, 0.5000], [0.5000, 0.7829, 0.0000], [0.0000, 0.2171, 0.5000], [0.0000, 0.7525, 0.3031], [0.0000, 0.7525, 0.6969], [0.5000, 0.2475, 0.8031], [0.5000, 0.2475, 0.1969]]}



Entry 19:
{"formula": "TlAs3", "functional": "PBE", "state": "relaxed", "de_polymorph_mev_per_atom": 43, "n_ef_per_ev_atom": 0.632, "delta_e_f_ev_per_atom": 0.2010, "rho_g_cm3": 7.673, "magnetic_moment_mub_per_fu": 0.00, "lattice": [[-2.1828, -2.2162, 2.5784], [3.2962, -0.6284, 2.2504], [-1.7303, 6.0967, 0.6099]], "species": ["Tl", "As", "As", "As"], "fractional_positions": [[0.0000, 0.0000, 0.0000], [0.5000, 0.5000, 0.0000], [0.2623, 0.2623, 0.5245], [0.7377, 0.7377, 0.4755]]}



Entry 20:
{"formula": "Tl3As", "functional": "PBE", "state": "relaxed", "n_ef_per_ev_atom": 0.512, "delta_e_f_ev_per_atom": 0.0589, "rho_g_cm3": 9.295, "magnetic_moment_mub_per_fu": 0.00, "lattice": [[-4.9279, -2.4536, -2.7538], [1.2953, -5.8868, -1.2469], [-0.5083, 3.8524, 4.7737]], "species": ["Tl", "Tl", "Tl", "As"], "fractional_positions": [[0.6006, 0.5000, 0.1006], [0.9406, 0.3036, 0.6370], [0.3334, 0.6964, 0.6370], [0.9587, 0.0000, 0.9587]]}



We obtain electronic total energy values of -20.75; -28.32; -14.51; -14.89; -26.27; -23.08; -22.28; -31.75; -11.24; -24.68; -26.80; -15.58; -11.38; -15.54; -13.74; -27.91; -15.62; -23.35; -15.51; -11.51 eV for the cell shown for the records listed above, in that order.